VPO5 (PBE with a Hubbard U, optimized geometry); final energy = -0.5389 Ry per atom; SG = Pnma (62); polymorph energy (0 for the lowest one) = 47 meV/atom; ρ = 2894 kg/m³
1.0
-2.1305 -4.4765 -1.5734
3.5212 0.2389 -5.4479
8.0719 -5.5892 4.9721
V P O
4 4 20
Cartesian
7.1788 -8.5334 1.6622
2.2838 -1.2934 -3.7113
2.5328 -5.7802 0.1200
6.9298 -4.0466 -2.1691
3.0710 -3.9864 -5.7123
6.3916 -5.8403 3.6632
5.5392 -6.8874 -0.8007
3.9234 -2.9394 -1.2483
4.2636 -6.5649 0.0090
5.1990 -3.2619 -2.0580
-0.2507 -3.8027 -1.7370
9.7133 -6.0240 -0.3120
0.8265 -4.9851 0.1684
8.6361 -4.8416 -2.2175
6.4890 -7.6694 0.1379
2.9736 -2.1574 -2.1870
3.2222 -4.2294 -0.8247
5.2005 -7.7823 -1.9923
6.2404 -5.5973 -1.2244
4.2621 -2.0445 -0.0568
2.9222 -2.7540 -4.8210
7.5802 -4.8878 3.5399
6.5404 -7.0727 2.7719
1.8824 -4.9390 -5.5889
2.9707 -5.0328 1.6994
4.0360 -2.7946 2.4861
0.6954 -2.1188 -3.5106
1.7606 0.1195 -2.7239